(1)
A plane-wave DFT calculation with PBE was carried out for crystalline V3Ir2Ru at its relaxed geometry.

a b c (Å): 2.776 2.776 10.811
angles (deg): 90.00 90.00 90.00
Positions (direct):
V: 0.000 0.000 0.000
V: 0.000 0.000 0.662
V: 0.000 0.000 0.338
Ir: 0.500 0.500 0.829
Ir: 0.500 0.500 0.171
Ru: 0.500 0.500 0.500

Energy in eV/cell: -56.6
Spin magnetization in μB per cell: 0.0
E_form in kcal/mol of atoms: -8.5
SG: No. 123
DOS(E_F) in states/eV/f.u.: 8.88



(2)
A plane-wave DFT calculation with PBE was carried out for crystalline Ba2Fe2Bi at its relaxed geometry.

a b c (Å): 6.400 6.400 5.988
angles (deg): 57.69 57.69 90.00
Site moments in Bohr magnetons follow the coordinates.
Positions (direct):
Fe: 0.366 0.366 0.268  2.52
Fe: 0.634 0.634 0.732  2.52
Bi: 0.000 0.000 0.000  0.05
Ba: 0.250 0.750 0.500  -0.05
Ba: 0.750 0.250 0.500  -0.05

Energy in eV/cell: -23.0
Spin magnetization in μB per cell: 5.0
E_form in kcal/mol of atoms: 7.6
SG: No. 139
DOS(E_F) in states/eV/f.u.: 2.27



(3)
A plane-wave DFT calculation with PBE was carried out for crystalline FeHgI4 at its relaxed geometry.

a b c (Å): 6.622 6.622 12.062
angles (deg): 90.00 90.00 90.00
Site moments in Bohr magnetons follow the coordinates.
Positions (direct):
Hg: 0.000 0.000 0.000  -0.02
Hg: 0.000 0.000 0.500  -0.02
I: 0.240 0.723 0.131  0.08
I: 0.277 0.240 0.869  0.08
I: 0.760 0.277 0.131  0.08
I: 0.723 0.240 0.631  0.08
I: 0.760 0.723 0.369  0.08
I: 0.277 0.760 0.631  0.08
I: 0.723 0.760 0.869  0.08
I: 0.240 0.277 0.369  0.08
Fe: 0.000 0.500 0.250  3.29
Fe: 0.500 0.000 0.750  3.29

Energy in eV/cell: -32.4
E_form (uncorrected) in meV/atom: -208
Spin magnetization in μB per cell: 8.0
SG: No. 112
DOS(E_F) in states/eV/f.u.: 3.58



(4)
A plane-wave DFT calculation with PBE was carried out for crystalline Mg2ScPd at its relaxed geometry.

a b c (Å): 3.262 3.262 7.428
angles (deg): 90.00 90.00 90.00
Site moments in Bohr magnetons follow the coordinates.
Positions (direct):
Mg: 0.000 0.000 0.797  0.00
Mg: 0.000 0.000 0.203  0.00
Sc: 0.500 0.500 0.500  0.12
Pd: 0.500 0.500 0.000  0.00

Energy in eV/cell: -16.2
Spin magnetization in μB per cell: 0.2
E_form in kcal/mol of atoms: -8.4
SG: No. 123
DOS(E_F) in states/eV/f.u.: 3.25



(5)
A plane-wave DFT calculation with PBE was carried out for crystalline CaRu3Pb at its relaxed geometry.

a b c (Å): 4.800 4.800 4.800
angles (deg): 90.00 90.00 90.00
Site moments in Bohr magnetons follow the coordinates.
Positions (direct):
Ru: 0.000 0.500 0.000  1.38
Ru: 0.500 0.000 0.000  1.32
Ru: 0.000 0.000 0.500  1.44
Pb: 0.500 0.500 0.500  -0.05
Ca: 0.000 0.000 0.000  -0.07

Energy in eV/cell: -23.8
Spin magnetization in μB per cell: 4.1
E_form in kcal/mol of atoms: 45.0
SG: No. 221
DOS(E_F) in states/eV/f.u.: 5.61



(6)
A plane-wave DFT calculation with PBE was carried out for crystalline Ac2ZnSi3Ir4 at its relaxed geometry.

a b c (Å): 4.261 4.261 10.360
angles (deg): 90.00 90.00 90.00
Positions (direct):
Ir: 0.500 0.000 0.636
Ir: 0.500 0.500 0.000
Ir: 0.000 0.000 0.000
Ir: 0.000 0.500 0.364
Ac: 0.000 0.500 0.745
Ac: 0.500 0.000 0.255
Si: 0.500 0.000 0.877
Si: 0.000 0.500 0.123
Si: 0.000 0.000 0.500
Zn: 0.500 0.500 0.500

Energy in eV/cell: -69.6
E_form (uncorrected) in meV/atom: -839
Spin magnetization in μB per cell: 0.0
SG: No. 115
DOS(E_F) in states/eV/f.u.: 7.20